VASP calculation (GGA-PBE) on crystalline K2TiF5 at its relaxed geometry.

abc: 6.099 7.700 10.929
angles: 90.00 90.00 90.00
Last column: magnetic moment on the atom in μB.
Element x y z (fractional)
1 F 0.785 0.938 0.068  0.00
2 F 0.785 0.562 0.068  0.00
3 F 0.377 0.024 0.169  0.01
4 F 0.896 0.750 0.496  0.00
5 F 0.623 0.524 0.831  0.01
6 F 0.715 0.062 0.568  0.00
7 F 0.877 0.024 0.331  0.01
8 F 0.604 0.250 0.996  0.00
9 F 0.877 0.476 0.331  0.01
10 F 0.715 0.438 0.568  0.00
11 F 0.215 0.062 0.932  0.00
12 F 0.123 0.976 0.669  0.01
13 F 0.285 0.938 0.432  0.00
14 F 0.215 0.438 0.932  0.00
15 F 0.285 0.562 0.432  0.00
16 F 0.377 0.476 0.169  0.01
17 F 0.396 0.750 0.004  0.00
18 F 0.123 0.524 0.669  0.01
19 F 0.104 0.250 0.504  0.00
20 F 0.623 0.976 0.831  0.01
21 K 0.080 0.750 0.196  0.00
22 K 0.420 0.250 0.696  0.00
23 K 0.985 0.750 0.860  0.00
24 K 0.015 0.250 0.140  0.00
25 K 0.515 0.250 0.360  0.00
26 K 0.580 0.750 0.304  0.00
27 K 0.485 0.750 0.640  0.00
28 K 0.920 0.250 0.804  0.00
29 Ti 0.000 0.000 0.500  0.92
30 Ti 0.000 0.500 0.500  0.92
31 Ti 0.500 0.000 0.000  0.92
32 Ti 0.500 0.500 0.000  0.92

Calculated values
ΔE_f (raw) = -3.107 eV/atom
Calculated density = 2.9 Mg/m³